NdZn4Ni8 PBE optimized geometry; D(E_F) = 10.40 states/eV per cell; VASP energy = -4.50 eV per atom
1.0
4.917 0.000 0.000
2.459 5.925 0.000
2.459 0.000 5.925
Ni Nd Zn
8 1 4
Direct
0.731 0.769 0.769
0.642 0.358 0.358
0.000 0.642 0.358
0.000 0.358 0.642
0.358 0.642 0.642
0.500 0.769 0.231
0.500 0.231 0.769
0.269 0.231 0.231
0.000 0.000 0.000
0.500 0.500 0.000
0.000 0.000 0.500
0.500 0.000 0.500
0.000 0.500 0.000



Nd3Zn7Ni2 PBE optimized geometry; D(E_F) = 7.13 states/eV per cell; VASP energy = -3.20 eV per atom
1.0
-2.676 -0.907 4.713
1.996 -3.596 3.645
4.168 4.673 6.470
Zn Nd Ni
7 3 2
Direct
0.572 0.572 0.771
0.428 0.915 0.229
0.500 0.500 0.500
0.915 0.428 0.229
0.572 0.085 0.771
0.085 0.572 0.771
0.428 0.428 0.229
0.000 0.000 0.000
0.850 0.850 0.450
0.150 0.150 0.550
0.331 0.331 0.006
0.669 0.669 0.994



Nd3Zn5Ni6 PBE optimized geometry; D(E_F) = 9.24 states/eV per cell; VASP energy = -4.31 eV per atom
1.0
-0.767 0.331 4.125
0.861 -7.342 2.896
7.067 -0.813 3.526
Zn Ni Nd
5 6 3
Direct
0.319 0.021 0.341
0.319 0.341 0.021
0.681 0.979 0.659
0.000 0.500 0.500
0.681 0.659 0.979
0.892 0.834 0.383
0.108 0.166 0.617
0.500 0.710 0.290
0.892 0.383 0.834
0.108 0.617 0.166
0.500 0.290 0.710
0.318 0.682 0.682
0.000 0.000 0.000
0.682 0.318 0.318



NdZn2Ni6 PBE optimized geometry; D(E_F) = 8.85 states/eV per cell; VASP energy = -4.30 eV per atom
1.0
7.473 0.000 0.000
3.736 6.472 0.000
3.736 2.157 6.102
Zn Ni Nd
4 12 2
Direct
0.125 0.125 0.625
0.125 0.125 0.125
0.125 0.625 0.125
0.625 0.125 0.125
0.256 0.744 0.744
0.994 0.506 0.994
0.744 0.256 0.256
0.994 0.994 0.506
0.506 0.994 0.994
0.744 0.256 0.744
0.994 0.506 0.506
0.506 0.506 0.994
0.744 0.744 0.256
0.256 0.256 0.744
0.506 0.994 0.506
0.256 0.744 0.256
0.750 0.750 0.750
0.500 0.500 0.500



NdZrNi4 PBE optimized geometry; D(E_F) = 4.92 states/eV per cell; VASP energy = -6.36 eV per atom
1.0
-2.538 1.893 3.941
-1.765 -3.091 3.591
2.105 0.004 4.597
Zr Nd Ni
1 1 4
Direct
0.000 0.000 0.000
0.250 0.250 0.250
0.122 0.626 0.626
0.626 0.122 0.626
0.626 0.626 0.122
0.626 0.626 0.626



NdZrNi PBE optimized geometry; D(E_F) = 4.00 states/eV per cell; polymorph energy (0 for the lowest one) = 68 meV/atom; VASP energy = -6.49 eV per atom
1.0
-1.638 2.396 1.750
-2.967 -1.339 -0.943
2.345 -3.993 4.379
Zr Ni Nd
1 1 1
Direct
0.291 0.291 0.583
0.698 0.698 0.397
0.010 0.010 0.021